Record 1
Computed, not measured: La6Ru2Cl3O after structural relaxation at the PBE-GGA level of DFT.

Cell and atoms, written as POSCAR:
```
La6Ru2Cl3O
1.0
-3.6364 -5.8998 0.1639
4.7777 1.0180 -4.9188
4.9261 -1.5300 6.0725
La Ru Cl O
6 2 3 1
direct
0.9312 0.6101 0.8002
0.7508 0.7508 0.1994
0.0688 0.3899 0.1998
0.6101 0.9312 0.8002
0.2492 0.2492 0.8006
0.3899 0.0688 0.1998
0.3349 0.6651 0.0000
0.6651 0.3349 0.0000
0.1743 0.8257 0.5000
0.8257 0.1743 0.5000
0.5000 0.5000 0.5000
0.0000 0.0000 0.0000
```

Values from the calculation:
Uncorrected formation energy, eV/atom: -1.41
Theoretical density, Mg/m³: 6.07
Total moment, μB per formula unit: 0.00



Record 2
Computed, not measured: Sc2GeCl after structural relaxation at the PBE-GGA level of DFT.

Cell and atoms, written as POSCAR:
```
Sc2GeCl
1.0
2.3889 0.0000 7.4699
-1.1945 2.0689 7.4699
-1.1945 -2.0689 7.4699
Sc Ge Cl
2 1 1
direct
0.8886 0.8886 0.8886
0.1114 0.1114 0.1114
0.5000 0.5000 0.5000
0.0000 0.0000 0.0000
```

Values from the calculation:
Uncorrected formation energy, eV/atom: -0.98
Theoretical density, Mg/m³: 2.97
Polymorph energy (0 for the lowest one), meV per atom: 8
Total moment, μB per formula unit: 0.00



Record 3
Computed, not measured: Th2SbHN after structural relaxation at the PBE-GGA level of DFT.

Cell and atoms, written as POSCAR:
```
Th2SbHN
1.0
3.9461 0.0000 0.0000
0.0000 3.9461 0.0000
-1.9730 -1.9730 6.5333
Th Sb H N
2 1 1 1
direct
0.6466 0.6466 0.2933
0.3534 0.3534 0.7067
0.0000 0.0000 0.0000
0.2500 0.7500 0.5000
0.7500 0.2500 0.5000
```

Values from the calculation:
Uncorrected energy, eV per atom: -7.26
Theoretical density, Mg/m³: 9.81
Total moment, μB per formula unit: 0.00